# 1
A relaxed structure of CdHg4. Source: Alexandria via LeMat-Bulk, functional PBE-GGA.

The space group is Pm-3m (No. 221) and the conventional cell measures 5.784, 5.784 and 5.784 Å, with angles of 90.00, 90.00 and 90.00 degrees. The inequivalent atoms are Cd at (0.000, 0.000, 0.000), Hg at (0.000, 0.000, 0.500) and Hg at (0.500, 0.500, 0.500).

Its crystal system is cubic. For the electronic total energy, the calculation gives -1.646 eV/cell. For the formation energy, the calculation gives 95.2 meV per atom. As for the distance to the lowest polymorph of the same formula: 0.36 eV per formula unit.



# 2
A relaxed structure of Tm5MgAg. Source: Alexandria via LeMat-Bulk, functional PBE-GGA.

The space group is C2/c (No. 15) and the conventional cell measures 8.796, 9.180 and 11.361 Å, with angles of 90.00, 111.53 and 90.00 degrees. The inequivalent atoms are Tm at (0.000, 0.106, 0.250), Tm at (0.145, 0.225, 0.706), Tm at (0.198, 0.073, 0.018), Mg at (0.000, 0.451, 0.250) and Ag at (0.250, 0.250, 0.500).

Its crystal system is monoclinic. For the electronic total energy, the calculation gives -101.784 eV/cell. For the formation energy, the calculation gives 193.9 meV per atom.



# 3
A relaxed structure of InRePt2. Source: Alexandria via LeMat-Bulk, functional PBE-GGA.

The space group is I4/mmm (No. 139) and the conventional cell measures 4.055, 4.055 and 8.013 Å, with angles of 90.00, 90.00 and 90.00 degrees. The inequivalent atoms are In at (0.000, 0.000, 0.000), Re at (0.000, 0.000, 0.500) and Pt at (0.000, 0.500, 0.250).

Its crystal system is tetragonal. For the electronic total energy, the calculation gives -53.375 eV/cell. For the formation energy, the calculation gives 145.1 meV per atom.



# 4
A relaxed structure of SrZrBe. Source: Alexandria via LeMat-Bulk, functional PBE-GGA.

The space group is F-43m (No. 216) and the conventional cell measures 6.768, 6.768 and 6.768 Å, with angles of 90.00, 90.00 and 90.00 degrees. The inequivalent atoms are Sr at (0.000, 0.000, 0.000), Zr at (0.250, 0.250, 0.250) and Be at (0.250, 0.250, 0.750).

Its crystal system is cubic. For the electronic total energy, the calculation gives -36.257 eV/cell. For the formation energy, the calculation gives 1630.6 meV per atom. As for the distance to the lowest polymorph of the same formula: 4.21 eV per formula unit.



# 5
A relaxed structure of MgAgH2. Source: Alexandria via LeMat-Bulk, functional PBE-GGA.

The space group is R-3m (No. 166, hexagonal axes) and the conventional cell measures 3.1074, 3.1074 and 16.4224 Å, with angles of 90.00, 90.00 and 120.00 degrees. The inequivalent atoms are Mg at (0.0000, 0.0000, 0.0000), Ag at (0.0000, 0.0000, 0.5000) and H at (0.0000, 0.0000, 0.3843).

Its crystal system is trigonal. For the electronic total energy, the calculation gives -32.692 eV/cell. As for the distance to the lowest polymorph of the same formula: 0.00 eV per formula unit.



# 6
A relaxed structure of Pa2GeBIr6. Source: Alexandria via LeMat-Bulk, functional PBE-GGA.

The space group is R-3m (No. 166, hexagonal axes) and the conventional cell measures 5.6219, 5.6219 and 37.4095 Å, with angles of 90.00, 90.00 and 120.00 degrees. The inequivalent atoms are Pa at (0.0000, 0.0000, 0.1061), Pa at (0.0000, 0.0000, 0.2792), Ge at (0.0000, 0.0000, 0.4193), B at (0.0000, 0.0000, 0.0000), B at (0.0000, 0.0000, 0.5000), Ir at (0.0077, 0.5038, 0.2998) and Ir at (0.0206, 0.5103, 0.8664).

Its crystal system is trigonal. For the electronic total energy, the calculation gives -538.897 eV/cell. For the formation energy, the calculation gives -636.3 meV per atom.